(1)
# PBE Tl2TcRu, optimized geometry
# E: -21.27 eV/f.u.
# Energy of formation: 0.78 eV/atom
# Spin magnetization: 8.0 μB per cell
data_Tl2TcRu
_chemical_formula_sum 'Tl8 Tc4 Ru4'
_space_group_name_H-M_alt 'F m -3 m'
_space_group_IT_number 225
_space_group_name_Hall '-F 4 2 3'
_cell_length_a 6.6401
_cell_length_b 6.6401
_cell_length_c 6.6401
_cell_angle_alpha 90.00
_cell_angle_beta 90.00
_cell_angle_gamma 90.00
loop_
_atom_site_label
_atom_site_fract_x
_atom_site_fract_y
_atom_site_fract_z
Tl1 0.2500 0.2500 0.2500
Tc1 0.0000 0.0000 0.0000
Ru1 0.0000 0.0000 0.5000


(2)
# PBE Pm2DyEr2, optimized geometry
# E: -21.35 eV/f.u.
# Energy of formation: 0.38 eV/atom
# Spin magnetization: 0.0 μB per cell
data_Pm2DyEr2
_chemical_formula_sum 'Pm4 Dy2 Er4'
_space_group_name_H-M_alt 'I 4/m m m'
_space_group_IT_number 139
_space_group_name_Hall '-I 4 2'
_cell_length_a 4.5670
_cell_length_b 4.5670
_cell_length_c 16.3781
_cell_angle_alpha 90.00
_cell_angle_beta 90.00
_cell_angle_gamma 90.00
loop_
_atom_site_label
_atom_site_fract_x
_atom_site_fract_y
_atom_site_fract_z
Pm1 0.0000 0.5000 0.2500
Dy1 0.0000 0.0000 0.0000
Er1 0.0000 0.0000 0.4068


(3)
# PBE HgP2BrF, optimized geometry
# Formation energy from raw total energies: 531 meV per atom
# E: -12.01 eV/f.u.
# Spin magnetization: 0.0 μB per cell
data_HgP2BrF
_chemical_formula_sum 'Hg1 P2 Br1 F1'
_space_group_name_H-M_alt 'P 4/m m m'
_space_group_IT_number 123
_space_group_name_Hall '-P 4 2'
_cell_length_a 4.1480
_cell_length_b 4.1480
_cell_length_c 8.2025
_cell_angle_alpha 90.00
_cell_angle_beta 90.00
_cell_angle_gamma 90.00
loop_
_atom_site_label
_atom_site_fract_x
_atom_site_fract_y
_atom_site_fract_z
Hg1 0.0000 0.0000 0.0000
P1 0.0000 0.5000 0.5000
Br1 0.5000 0.5000 0.0000
F1 0.0000 0.0000 0.5000


(4)
# PBE Ac3Cl, optimized geometry
# Formation energy from raw total energies: -144 meV per atom
# E: -14.75 eV/f.u.
# Spin magnetization: 0.0 μB per cell
data_Ac3Cl
_chemical_formula_sum 'Ac3 Cl1'
_space_group_name_H-M_alt 'P m -3 m'
_space_group_IT_number 221
_space_group_name_Hall '-P 4 2 3'
_cell_length_a 5.4267
_cell_length_b 5.4267
_cell_length_c 5.4267
_cell_angle_alpha 90.00
_cell_angle_beta 90.00
_cell_angle_gamma 90.00
loop_
_atom_site_label
_atom_site_fract_x
_atom_site_fract_y
_atom_site_fract_z
Ac1 0.0000 0.0000 0.5000
Cl1 0.5000 0.5000 0.5000


(5)
# PBE Tb3HoRu3, optimized geometry
# E: -48.58 eV/f.u.
# Energy of formation: -0.33 eV/atom
# Spin magnetization: 0.0 μB per cell
data_Tb3HoRu3
_chemical_formula_sum 'Tb12 Ho4 Ru12'
_space_group_name_H-M_alt 'C 1 2/m 1'
_space_group_IT_number 12
_space_group_name_Hall '-C 2y'
_cell_length_a 9.6991
_cell_length_b 9.6259
_cell_length_c 6.7492
_cell_angle_alpha 90.00
_cell_angle_beta 90.08
_cell_angle_gamma 90.00
loop_
_atom_site_label
_atom_site_fract_x
_atom_site_fract_y
_atom_site_fract_z
Tb1 0.0000 0.2462 0.0000
Tb2 0.0000 0.2501 0.5000
Tb3 0.2466 0.0000 0.0006
Ho1 0.2416 0.0000 0.5006
Ru1 0.0000 0.0000 0.2507
Ru2 0.2500 0.2500 0.2509


(6)
# PBE Tm3Sc4Bi4, optimized geometry
# E: -59.71 eV/f.u.
# Energy of formation: -0.50 eV/atom
# Spin magnetization: 0.0 μB per cell
data_Tm3Sc4Bi4
_chemical_formula_sum 'Tm6 Sc8 Bi8'
_space_group_name_H-M_alt 'I m m m'
_space_group_IT_number 71
_space_group_name_Hall '-I 2 2'
_cell_length_a 4.1789
_cell_length_b 9.1018
_cell_length_c 15.7733
_cell_angle_alpha 90.00
_cell_angle_beta 90.00
_cell_angle_gamma 90.00
loop_
_atom_site_label
_atom_site_fract_x
_atom_site_fract_y
_atom_site_fract_z
Tm1 0.0000 0.0000 0.0000
Tm2 0.0000 0.5000 0.1166
Sc1 0.0000 0.2953 0.3235
Bi1 0.0000 0.0000 0.2298
Bi2 0.0000 0.2082 0.5000


(7)
# PBE Mg2ZnF6, optimized geometry
# Formation energy from raw total energies: -3101 meV per atom
# E: -43.60 eV/f.u.
# Spin magnetization: 0.0 μB per cell
data_Mg2ZnF6
_chemical_formula_sum 'Mg4 Zn2 F12'
_space_group_name_H-M_alt 'P n n m'
_space_group_IT_number 58
_space_group_name_Hall '-P 2 2n'
_cell_length_a 4.7021
_cell_length_b 5.2910
_cell_length_c 8.7850
_cell_angle_alpha 90.00
_cell_angle_beta 90.00
_cell_angle_gamma 90.00
loop_
_atom_site_label
_atom_site_fract_x
_atom_site_fract_y
_atom_site_fract_z
Mg1 0.0000 0.0000 0.1847
Zn1 0.0000 0.5000 0.0000
F1 0.1978 0.1637 0.0000
F2 0.2345 0.6735 0.1732


(8)
# PBE CaNd2Rh9, optimized geometry
# E: -82.78 eV/f.u.
# Energy of formation: -0.42 eV/atom
# Spin magnetization: 0.0 μB per cell
data_CaNd2Rh9
_chemical_formula_sum 'Ca3 Nd6 Rh27'
_space_group_name_H-M_alt 'R -3 m'
_space_group_IT_number 166
_space_group_name_Hall '-R 3 2"'
_cell_length_a 5.3240
_cell_length_b 5.3240
_cell_length_c 26.4936
_cell_angle_alpha 90.00
_cell_angle_beta 90.00
_cell_angle_gamma 120.00
loop_
_atom_site_label
_atom_site_fract_x
_atom_site_fract_y
_atom_site_fract_z
Ca1 0.0000 0.0000 0.0000
Nd1 0.0000 0.0000 0.1377
Rh1 0.0000 0.0000 0.3326
Rh2 0.0000 0.0000 0.5000
Rh3 0.0013 0.5007 0.0813